Density functional theory data (PBE) for a relaxed TbNd8Bi6 crystal.

Lattice parameters (Å, degrees): 8.3380 8.3380 10.0429 65.47 65.47 60.00
With the nearest neighbours (Å) after each atom.
Positions (direct):
Bi1 0.2623 0.6075 0.1973  5 Nd 3.15-3.30, 1 Tb 3.24
Bi2 0.3925 0.0670 0.8027  5 Nd 3.15-3.30, 1 Tb 3.24
Bi3 0.9330 0.2623 0.1973  5 Nd 3.15-3.30, 1 Tb 3.24
Bi4 0.7377 0.3925 0.8027  5 Nd 3.15-3.30, 1 Tb 3.24
Bi5 0.6075 0.9330 0.1973  5 Nd 3.15-3.30, 1 Tb 3.24
Bi6 0.0670 0.7377 0.8027  5 Nd 3.15-3.30, 1 Tb 3.24
Nd1 0.7845 0.1202 0.6340  3 Bi 3.15-3.16
Nd2 0.1202 0.4613 0.6340  3 Bi 3.15-3.16
Nd3 0.8798 0.5387 0.3660  3 Bi 3.15-3.16
Nd4 0.3332 0.3332 0.0004  6 Bi 3.30
Nd5 0.6668 0.6668 0.9996  6 Bi 3.30
Nd6 0.5387 0.2155 0.3660  3 Bi 3.15-3.16
Nd7 0.2155 0.8798 0.3660  3 Bi 3.15-3.16
Nd8 0.4613 0.7845 0.6340  3 Bi 3.15-3.16
Tb1 0.0000 0.0000 0.0000  6 Bi 3.24

## Properties
The calculation puts the magnetization at 0.00 μB/atom. The volume comes out at 530.7 Å³/cell. The density of states at the Fermi level comes out at 16.7 states/eV/cell. As for the space-group type: No. 148. The value obtained for the formation energy from the elements is -0.5929 eV per atom. The calculated total energy comes out at -5.00 eV per atom.

---

Density functional theory data (PBE) for a relaxed Tb5NdBi6 crystal.

Lattice parameters (Å, degrees): 7.8166 7.8176 7.8181 60.00 80.39 70.50
With the nearest neighbours (Å) after each atom.
Positions (direct):
Tb1 0.0000 0.6674 0.6652  6 Bi 3.19
Tb2 0.5000 0.1646 0.6708  6 Bi 3.17-3.19
Tb3 0.0000 0.3326 0.3348  6 Bi 3.19
Tb4 0.5000 0.5000 0.0000  6 Bi 3.16-3.19
Tb5 0.5000 0.8354 0.3292  6 Bi 3.17-3.19
Bi1 0.7467 0.4222 0.6625  5 Tb 3.17-3.19, 1 Nd 3.23
Bi2 0.2533 0.5778 0.3375  5 Tb 3.17-3.19, 1 Nd 3.23
Bi3 0.7489 0.7457 0.0000  5 Tb 3.16-3.19, 1 Nd 3.23
Bi4 0.7467 0.0846 0.3375  5 Tb 3.17-3.19, 1 Nd 3.23
Bi5 0.2511 0.2543 0.0000  5 Tb 3.16-3.19, 1 Nd 3.23
Bi6 0.2533 0.9154 0.6625  5 Tb 3.17-3.19, 1 Nd 3.23
Nd1 0.0000 0.0000 0.0000  6 Bi 3.23

## Properties
The calculation puts the magnetization at 0.00 μB/atom. The volume comes out at 390.0 Å³/cell. The density of states at the Fermi level comes out at 2.1 states/eV/cell. As for the space-group type: No. 12. The value obtained for the formation energy from the elements is -0.8893 eV per atom. The calculated total energy comes out at -5.16 eV per atom.

---

Density functional theory data (PBE) for a relaxed Tb2NdBi crystal.

Lattice parameters (Å, degrees): 4.0729 4.0729 7.4829 90.00 90.00 90.00
With the nearest neighbours (Å) after each atom.
Positions (direct):
Bi1 0.5000 0.5000 0.5000  8 Tb 3.33
Tb1 0.0000 0.0000 0.2765  4 Bi 3.33, 1 Tb 3.34, 4 Nd 3.55
Tb2 0.0000 0.0000 0.7235  4 Bi 3.33, 1 Tb 3.34, 4 Nd 3.55
Nd1 0.5000 0.5000 0.0000  8 Tb 3.55, 2 Bi 3.74

## Properties
The calculation puts the magnetization at 0.00 μB/atom. The volume comes out at 124.1 Å³/cell. The density of states at the Fermi level comes out at 4.6 states/eV/cell. As for the space-group type: No. 123. As for the excess energy over the best structure of this formula in the dataset: 107 meV per atom. The value obtained for the formation energy from the elements is -0.3546 eV per atom. The calculated total energy comes out at -4.83 eV per atom.

---

Density functional theory data (PBE) for a relaxed TbNdBi crystal.

Lattice parameters (Å, degrees): 4.1588 4.1588 6.0521 110.10 110.10 90.00
With the nearest neighbours (Å) after each atom.
Positions (direct):
Bi1 0.6206 0.6206 0.2411  5 Tb 3.35-3.69, 5 Nd 3.41-3.57
Nd1 0.9579 0.9579 0.9158  5 Tb 3.32-3.54, 5 Bi 3.41-3.57
Tb1 0.2715 0.2715 0.5431  5 Nd 3.32-3.54, 5 Bi 3.35-3.69

## Properties
The calculation puts the magnetization at 0.00 μB/atom. The volume comes out at 91.5 Å³/cell. The density of states at the Fermi level comes out at 4.0 states/eV/cell. As for the space-group type: No. 107. The value obtained for the formation energy from the elements is -0.4921 eV per atom. The calculated total energy comes out at -4.92 eV per atom.

---

Density functional theory data (PBE) for a relaxed TbNd4Bi5 crystal.

Lattice parameters (Å, degrees): 4.5896 6.4838 12.1284 105.50 100.91 90.00
With the nearest neighbours (Å) after each atom.
Positions (direct):
Bi1 0.5972 0.0972 0.1943  2 Tb 3.20, 4 Nd 3.24-3.27
Bi2 0.7995 0.2995 0.5990  6 Nd 3.24-3.26
Bi3 0.0000 0.5000 0.0000  4 Nd 3.24, 2 Tb 3.24
Bi4 0.2005 0.7005 0.4010  6 Nd 3.24-3.26
Bi5 0.4028 0.9028 0.8057  2 Tb 3.20, 4 Nd 3.24-3.27
Nd1 0.5999 0.5999 0.1997  6 Bi 3.24-3.25
Nd2 0.1987 0.1987 0.3973  6 Bi 3.24-3.27
Nd3 0.4001 0.4001 0.8003  6 Bi 3.24-3.25
Nd4 0.8013 0.8013 0.6027  6 Bi 3.24-3.27
Tb1 0.0000 0.0000 0.0000  6 Bi 3.20-3.24

## Properties
The calculation puts the magnetization at 0.00 μB/atom. The volume comes out at 341.0 Å³/cell. The density of states at the Fermi level comes out at 2.0 states/eV/cell. As for the space-group type: No. 71. The value obtained for the formation energy from the elements is -0.9341 eV per atom. The calculated total energy comes out at -5.24 eV per atom.

---

Density functional theory data (PBE) for a relaxed TbNd4Bi5 crystal.

Lattice parameters (Å, degrees): 4.5885 4.5885 16.5258 97.98 97.98 90.00
With the nearest neighbours (Å) after each atom.
Positions (direct):
Nd1 0.8007 0.8007 0.6013  6 Bi 3.24-3.27
Nd2 0.5996 0.5996 0.1992  6 Bi 3.23-3.25
Nd3 0.1993 0.1993 0.3987  6 Bi 3.24-3.27
Nd4 0.4004 0.4004 0.8008  6 Bi 3.23-3.25
Bi1 0.9015 0.9015 0.8031  1 Tb 3.19, 5 Nd 3.24-3.27
Bi2 0.5000 0.5000 0.0000  2 Nd 3.23, 4 Tb 3.24
Bi3 0.3000 0.3000 0.6000  6 Nd 3.24-3.26
Bi4 0.7000 0.7000 0.4000  6 Nd 3.24-3.26
Bi5 0.0985 0.0985 0.1969  1 Tb 3.19, 5 Nd 3.24-3.27
Tb1 0.0000 0.0000 0.0000  6 Bi 3.19-3.24

## Properties
The calculation puts the magnetization at 0.00 μB/atom. The volume comes out at 341.2 Å³/cell. The density of states at the Fermi level comes out at 1.2 states/eV/cell. As for the space-group type: No. 139. The value obtained for the formation energy from the elements is -0.9337 eV per atom. The calculated total energy comes out at -5.24 eV per atom.

---

Density functional theory data (PBE) for a relaxed Tb4NdBi3 crystal.

Lattice parameters (Å, degrees): 4.0537 8.7222 8.7039 120.06 103.47 90.00
With the nearest neighbours (Å) after each atom.
Positions (direct):
Tb1 0.6323 0.4291 0.2646  1 Nd 3.22, 5 Bi 3.23-3.37, 1 Tb 3.54
Tb2 0.3677 0.5709 0.7354  1 Nd 3.22, 5 Bi 3.23-3.37, 1 Tb 3.54
Tb3 0.6322 0.8352 0.2643  1 Nd 3.22, 5 Bi 3.23-3.37, 1 Tb 3.54
Tb4 0.3678 0.1648 0.7357  1 Nd 3.22, 5 Bi 3.23-3.37, 1 Tb 3.54
Bi1 0.1819 0.1818 0.3638  6 Tb 3.23-3.37, 2 Nd 3.33
Bi2 0.0000 0.5000 0.0000  8 Tb 3.30-3.31
Bi3 0.8181 0.8182 0.6362  6 Tb 3.23-3.37, 2 Nd 3.33
Nd1 0.5000 0.0000 0.0000  4 Tb 3.22, 4 Bi 3.33

## Properties
The calculation puts the magnetization at 0.00 μB/atom. The volume comes out at 256.5 Å³/cell. The density of states at the Fermi level comes out at 9.6 states/eV/cell. As for the space-group type: No. 71. The value obtained for the formation energy from the elements is -0.4152 eV per atom. The calculated total energy comes out at -4.78 eV per atom.

---

Density functional theory data (PBE) for a relaxed Tb2Nd5Bi5 crystal.

Lattice parameters (Å, degrees): 4.5441 7.8360 13.1043 110.52 90.00 106.86
With the nearest neighbours (Å) after each atom.
Positions (direct):
Nd1 0.5000 0.0000 0.5000  4 Bi 3.22
Nd2 0.2792 0.5584 0.6588  5 Bi 3.11-3.35
Nd3 0.6621 0.3243 0.0352  5 Bi 3.24-3.46
Nd4 0.7208 0.4416 0.3412  5 Bi 3.11-3.35
Nd5 0.3379 0.6757 0.9648  5 Bi 3.24-3.46
Bi1 0.6903 0.3805 0.7844  2 Tb 3.13, 5 Nd 3.35-3.46
Bi2 0.3097 0.6195 0.2156  2 Tb 3.13, 5 Nd 3.35-3.46
Bi3 0.0000 0.0000 0.0000  2 Tb 3.09, 4 Nd 3.24
Bi4 0.8829 0.7658 0.5720  1 Tb 3.02, 5 Nd 3.11-3.22
Bi5 0.1171 0.2342 0.4280  1 Tb 3.02, 5 Nd 3.11-3.22
Tb1 0.0483 0.0966 0.7902  4 Bi 3.02-3.13
Tb2 0.9517 0.9034 0.2098  4 Bi 3.02-3.13

## Properties
The calculation puts the magnetization at 0.00 μB/atom. The volume comes out at 415.5 Å³/cell. The density of states at the Fermi level comes out at 9.1 states/eV/cell. As for the space-group type: No. 12. The value obtained for the formation energy from the elements is -0.6771 eV per atom. The calculated total energy comes out at -5.05 eV per atom.

---

Density functional theory data (PBE) for a relaxed Tb5Nd2Bi4 crystal.

Lattice parameters (Å, degrees): 3.6751 5.2471 18.4951 81.84 95.70 90.00
With the nearest neighbours (Å) after each atom.
Positions (direct):
Bi1 0.9541 0.5468 0.9083  2 Tb 3.12, 1 Bi 3.34
Bi2 0.0459 0.4532 0.0917  2 Tb 3.12, 1 Bi 3.34
Bi3 0.7181 0.2815 0.4363  1 Nd 3.21, 5 Tb 3.25-3.34
Bi4 0.2819 0.7185 0.5637  1 Nd 3.21, 5 Tb 3.25-3.34
Nd1 0.3698 0.6312 0.7397  3 Bi 3.21-3.58, 4 Tb 3.49
Nd2 0.6302 0.3688 0.2603  3 Bi 3.21-3.58, 4 Tb 3.49
Tb1 0.1926 0.8068 0.3852  5 Bi 3.25-3.34
Tb2 0.9079 0.0933 0.8157  2 Bi 3.12, 4 Nd 3.49
Tb3 0.8074 0.1932 0.6148  5 Bi 3.25-3.34
Tb4 0.0921 0.9067 0.1843  2 Bi 3.12, 4 Nd 3.49
Tb5 0.5000 0.0000 0.0000  8 Bi 3.61-3.62, 6 Tb 3.68-3.83

## Properties
The calculation puts the magnetization at 0.00 μB/atom. The volume comes out at 351.3 Å³/cell. The density of states at the Fermi level comes out at 9.8 states/eV/cell. As for the space-group type: No. 12. The value obtained for the formation energy from the elements is -0.3513 eV per atom. The calculated total energy comes out at -4.73 eV per atom.

---

Density functional theory data (PBE) for a relaxed Tb5Nd3Bi8 crystal.

Lattice parameters (Å, degrees): 9.0768 9.0768 9.0746 59.99 59.99 60.00
With the nearest neighbours (Å) after each atom.
Positions (direct):
Tb1 0.5000 0.0000 0.0000  6 Bi 3.18
Tb2 0.0000 0.5000 0.0000  6 Bi 3.18
Tb3 0.5000 0.5000 0.5000  6 Bi 3.21
Tb4 0.0000 0.0000 0.0000  6 Bi 3.21
Tb5 0.5000 0.5000 0.0000  6 Bi 3.18
Bi1 0.7475 0.7475 0.7576  3 Tb 3.18, 3 Nd 3.24
Bi2 0.2500 0.2500 0.7551  4 Tb 3.18-3.21, 2 Nd 3.24
Bi3 0.2500 0.7450 0.7551  4 Tb 3.18-3.21, 2 Nd 3.24
Bi4 0.7500 0.7500 0.2449  4 Tb 3.18-3.21, 2 Nd 3.24
Bi5 0.2550 0.7500 0.2449  4 Tb 3.18-3.21, 2 Nd 3.24
Bi6 0.7450 0.2500 0.7551  4 Tb 3.18-3.21, 2 Nd 3.24
Bi7 0.7500 0.2550 0.2449  4 Tb 3.18-3.21, 2 Nd 3.24
Bi8 0.2525 0.2525 0.2424  3 Tb 3.18, 3 Nd 3.24
Nd1 0.0000 0.0000 0.5000  6 Bi 3.24
Nd2 0.5000 0.0000 0.5000  6 Bi 3.24
Nd3 0.0000 0.5000 0.5000  6 Bi 3.24

## Properties
The calculation puts the magnetization at 0.00 μB/atom. The volume comes out at 528.6 Å³/cell. The density of states at the Fermi level comes out at 2.8 states/eV/cell. As for the space-group type: No. 166. The value obtained for the formation energy from the elements is -0.9025 eV per atom. The calculated total energy comes out at -5.18 eV per atom.

---

Density functional theory data (PBE) for a relaxed TbNdBi2 crystal.

Lattice parameters (Å, degrees): 4.5180 4.5180 8.1643 73.94 73.94 60.00
With the nearest neighbours (Å) after each atom.
Positions (direct):
Tb1 0.4979 0.4979 0.5062  6 Bi 3.21-3.26
Bi1 0.0842 0.0842 0.7473  3 Tb 3.21, 3 Nd 3.23
Bi2 0.2490 0.2490 0.2529  3 Tb 3.26, 3 Nd 3.29
Nd1 0.6688 0.6688 0.9935  6 Bi 3.23-3.29

## Properties
The calculation puts the magnetization at 0.00 μB/atom. The volume comes out at 136.8 Å³/cell. The density of states at the Fermi level comes out at 0.5 states/eV/cell. As for the space-group type: No. 160. As for the excess energy over the best structure of this formula in the dataset: 113 meV per atom. The value obtained for the formation energy from the elements is -0.7997 eV per atom. The calculated total energy comes out at -5.09 eV per atom.

---

Density functional theory data (PBE) for a relaxed TbNd2Bi3 crystal.

Lattice parameters (Å, degrees): 4.5732 6.4640 7.9161 114.10 106.79 90.00
With the nearest neighbours (Å) after each atom.
Positions (direct):
Nd1 0.3321 0.8321 0.6642  6 Bi 3.23-3.26
Nd2 0.6679 0.1679 0.3358  6 Bi 3.23-3.26
Tb1 0.0000 0.5000 0.0000  6 Bi 3.19-3.23
Bi1 0.6625 0.6625 0.3249  2 Tb 3.19, 4 Nd 3.23-3.26
Bi2 0.0000 0.0000 0.0000  2 Tb 3.23, 4 Nd 3.24
Bi3 0.3375 0.3375 0.6751  2 Tb 3.19, 4 Nd 3.23-3.26

## Properties
The calculation puts the magnetization at 0.00 μB/atom. The volume comes out at 202.6 Å³/cell. The density of states at the Fermi level comes out at 1.3 states/eV/cell. As for the space-group type: No. 71. The value obtained for the formation energy from the elements is -0.9227 eV per atom. The calculated total energy comes out at -5.22 eV per atom.